# Sm2ZrGa PBE relaxed
# - DFT formation energy (eV per formula unit) = -0.7
# - excess energy over the best structure of this formula in the dataset (meV/atom) = 0
# - E (eV per atom) = -5.429
data_Sm2ZrGa
_chemical_formula_sum 'Sm2 Zr1 Ga1'
_cell_length_a 4.6147
_cell_length_b 4.6147
_cell_length_c 4.6917
_cell_angle_alpha 90.00
_cell_angle_beta 90.00
_cell_angle_gamma 90.00
_symmetry_space_group_name_H-M 'P 1'
_symmetry_Int_Tables_number 1
loop_
_symmetry_equiv_pos_as_xyz
'x,y,z'
loop_
_atom_site_label
_atom_site_type_symbol
_atom_site_fract_x
_atom_site_fract_y
_atom_site_fract_z
_atom_site_occupancy
Sm1 Sm 0.0000 0.5000 0.0000 1
Sm2 Sm 0.5000 0.0000 0.0000 1
Zr1 Zr 0.0000 0.0000 0.5000 1
Ga1 Ga 0.5000 0.5000 0.5000 1

=====

# Li2Si3Pt2 PBE relaxed
# - raw formation energy (eV per atom) = -0.61
# - E (eV per atom) = -5.206
data_Li2Si3Pt2
_chemical_formula_sum 'Li2 Si3 Pt2'
_cell_length_a 4.9782
_cell_length_b 4.9782
_cell_length_c 6.4706
_cell_angle_alpha 111.57
_cell_angle_beta 111.57
_cell_angle_gamma 47.03
_symmetry_space_group_name_H-M 'P 1'
_symmetry_Int_Tables_number 1
loop_
_symmetry_equiv_pos_as_xyz
'x,y,z'
loop_
_atom_site_label
_atom_site_type_symbol
_atom_site_fract_x
_atom_site_fract_y
_atom_site_fract_z
_atom_site_occupancy
Li1 Li 0.1704 0.1704 0.3039 1
Li2 Li 0.8296 0.8296 0.6961 1
Si1 Si 0.3796 0.3796 0.0410 1
Si2 Si 0.5000 0.5000 0.5000 1
Si3 Si 0.6204 0.6204 0.9590 1
Pt1 Pt 0.1234 0.1234 0.7235 1
Pt2 Pt 0.8766 0.8766 0.2765 1

=====

- Among the records above, which one has the lowest E?
  Sm2ZrGa

=====

- Among the records above, which one has the highest E?
  Li2Si3Pt2

=====

- Which formula does entry 2 have?
  Li2Si3Pt2